{"formula": "CoB2H4C8N8O2", "functional": "PBE with a Hubbard U", "state": "optimized geometry", "energy_ev_per_atom": -7.3103, "cell": [[1.400, -5.635, -7.732], [6.090, 0.474, 7.496], [-7.985, -3.748, 3.963]], "species": ["B", "B", "B", "B", "C", "C", "C", "C", "C", "C", "C", "C", "C", "C", "C", "C", "C", "C", "C", "C", "Co", "Co", "H", "H", "H", "H", "H", "H", "H", "H", "N", "N", "N", "N", "N", "N", "N", "N", "N", "N", "N", "N", "N", "N", "N", "N", "O", "O", "O", "O"], "frac_coords": [[0.875, 0.412, 0.037], [0.588, 0.625, 0.463], [0.162, 0.125, 0.537], [0.375, 0.838, 0.963], [0.901, 0.267, 0.049], [0.696, 0.360, 0.055], [0.532, 0.983, 0.134], [0.054, 0.609, 0.164], [0.640, 0.695, 0.336], [0.148, 0.099, 0.366], [0.391, 0.555, 0.445], [0.602, 0.468, 0.451], [0.017, 0.151, 0.549], [0.110, 0.946, 0.555], [0.733, 0.782, 0.634], [0.359, 0.304, 0.664], [0.445, 0.890, 0.836], [0.849, 0.398, 0.866], [0.305, 0.641, 0.945], [0.218, 0.852, 0.951], [0.000, 0.000, 0.000], [0.750, 0.250, 0.500], [0.344, 0.252, 0.022], [0.748, 0.770, 0.092], [0.406, 0.927, 0.408], [0.073, 0.480, 0.478], [0.002, 0.594, 0.522], [0.520, 0.998, 0.592], [0.677, 0.656, 0.908], [0.230, 0.323, 0.978], [0.923, 0.161, 0.048], [0.558, 0.314, 0.060], [0.125, 0.077, 0.238], [0.686, 0.746, 0.244], [0.192, 0.752, 0.256], [0.637, 0.089, 0.262], [0.248, 0.504, 0.440], [0.625, 0.363, 0.452], [0.911, 0.173, 0.548], [0.064, 0.808, 0.560], [0.827, 0.375, 0.738], [0.496, 0.936, 0.744], [0.502, 0.442, 0.756], [0.839, 0.887, 0.762], [0.254, 0.498, 0.940], [0.113, 0.875, 0.952], [0.224, 0.224, 0.000], [0.776, 0.776, 0.000], [0.526, 0.026, 0.500], [0.974, 0.474, 0.500]]}